Entry 1:
4
Lattice="0.000 3.205 3.205 3.205 0.000 3.205 3.205 3.205 0.000" Properties=species:S:1:pos:R:3 comment="ScNb2Co | the Alexandria database | GGA-PBE | relaxed" rho_kg_m3=7309 dft_energy_ev_per_atom=-8.152 de_polymorph_kj_per_mol_fu=0.0 formation_enthalpy_0k_ev_per_atom=0.242 vol_a3_per_cell=65.8 total_magnetization_mub_per_cell=0.00 pbc="T T T"
Sc 0.000 0.000 0.000
Nb 1.602 1.602 1.602
Nb 4.807 4.807 4.807
Co 3.205 3.205 3.205

=====

Entry 2:
12
Lattice="4.558 0.000 1.356 2.077 4.057 1.356 -0.018 -0.011 8.395" Properties=species:S:1:pos:R:3 comment="Sc2NbCo9 | the Alexandria database | GGA-PBE | relaxed" rho_kg_m3=7623 dft_energy_ev_per_atom=-7.390 formation_enthalpy_0k_ev_per_atom=-0.166 vol_a3_per_cell=155.4 total_magnetization_mub_per_cell=9.10 pbc="T T T"
Sc 5.704 3.488 5.842
Sc 0.913 0.559 5.266
Nb 0.000 0.000 0.000
Co 4.414 2.699 1.838
Co 2.203 1.347 9.270
Co 3.309 2.023 5.554
Co 2.756 1.686 3.201
Co 5.057 1.686 3.886
Co 3.805 3.733 3.886
Co 3.861 2.361 7.907
Co 2.812 0.313 7.222
Co 1.560 2.361 7.222

=====

Entry 3:
10
Lattice="-1.266 0.522 -7.441 -6.563 -3.664 0.860 -1.297 2.415 0.390" Properties=species:S:1:pos:R:3 comment="ScNb2Co2 | the Alexandria database | GGA-PBE | relaxed" rho_kg_m3=7303 dft_energy_ev_per_atom=-8.113 de_polymorph_kj_per_mol_fu=62.8 formation_enthalpy_0k_ev_per_atom=0.024 vol_a3_per_cell=158.5 total_magnetization_mub_per_cell=0.00 pbc="T T T"
Sc 0.000 0.000 0.000
Sc -3.915 -1.571 -3.291
Nb -6.046 -2.941 -1.893
Nb -5.327 -1.925 -5.791
Nb -1.784 -0.201 -4.688
Nb -2.503 -1.217 -0.790
Co -5.081 -1.086 -0.342
Co -7.067 -1.580 -3.885
Co -4.047 0.359 -5.849
Co -2.060 0.854 -2.306

=====

Entry 4:
4
Lattice="-0.199 2.727 1.435 -3.077 -0.100 -0.239 -0.337 -2.963 5.587" Properties=species:S:1:pos:R:3 comment="ScNbCo2 | the Alexandria database | GGA-PBE | relaxed" rho_kg_m3=7032 dft_energy_ev_per_atom=-7.860 formation_enthalpy_0k_ev_per_atom=-0.207 vol_a3_per_cell=60.4 total_magnetization_mub_per_cell=1.96 pbc="T T T"
Sc -1.638 1.314 0.598
Nb -1.807 -0.168 3.391
Co -0.247 -2.172 4.095
Co -0.090 -0.791 1.491

=====

Entry 5:
12
Lattice="-3.143 1.191 -1.170 1.241 -3.142 -1.119 -9.066 -8.992 15.205" Properties=species:S:1:pos:R:3 comment="ScNbCoSe | the Alexandria database | GGA-PBE | relaxed" e_form_raw_ev_per_atom=-0.487 rho_kg_m3=6309 dft_energy_ev_per_atom=-7.235 de_polymorph_kj_per_mol_fu=11.2 vol_a3_per_cell=217.7 total_magnetization_mub_per_cell=0.00 pbc="T T T"
Sc -8.476 -8.407 14.215
Sc -5.674 -7.107 8.011
Sc -4.113 -2.666 2.926
Nb -1.106 -1.097 1.854
Nb -7.370 -8.789 10.855
Nb -5.809 -4.348 5.770
Co -4.715 -4.677 7.908
Co -1.914 -3.377 1.704
Co -9.419 -7.928 11.824
Se -3.297 -3.270 5.529
Se -0.495 -1.970 -0.675
Se -8.000 -6.521 9.445

=====

Entry 6:
4
Lattice="3.547 0.000 -0.006 0.000 3.812 0.000 -1.755 0.000 4.835" Properties=species:S:1:pos:R:3 comment="ScNbCoSe | the Alexandria database | GGA-PBE | relaxed" e_form_raw_ev_per_atom=-0.516 rho_kg_m3=7009 dft_energy_ev_per_atom=-7.264 de_polymorph_kj_per_mol_fu=0.0 vol_a3_per_cell=65.3 total_magnetization_mub_per_cell=0.00 pbc="T T T"
Sc -0.536 1.906 4.768
Nb 1.233 0.000 2.842
Co -0.491 1.906 2.196
Se 2.993 0.000 0.692